No. 1
LuTlZnO3: relaxed, PBE.

abc: 3.146 15.405 7.914
angles: 90.00 90.00 90.00
Space group Cmcm (No. 63)
Symmetry-distinct sites (fractional):
Lu1 0.000 0.000 0.000 (multiplicity 4)
Tl1 0.000 0.322 0.250 (multiplicity 4)
Zn1 0.000 0.360 0.750 (multiplicity 4)
O1 0.000 0.045 0.750 (multiplicity 4)
O2 0.000 0.132 0.083 (multiplicity 8)

Calculated values
Total moment   0.05 μB per formula unit
Raw total energy   -0.3912 Ry per atom
Calculated volume   383.5 Å³ per cell

***

No. 2
Pm4CBr5: relaxed, PBE.

abc: 18.231 3.925 8.377
angles: 90.00 103.44 90.00
Space group C2/m (No. 12)
Symmetry-distinct sites (fractional):
Pm1 0.001 0.000 0.295 (multiplicity 4)
Pm2 0.141 0.500 0.575 (multiplicity 4)
C1 0.000 0.500 0.500 (multiplicity 2)
Br1 0.000 0.500 0.000 (multiplicity 2)
Br2 0.164 0.000 0.842 (multiplicity 4)
Br3 0.170 0.000 0.329 (multiplicity 4)

Calculated values
Total moment   0.27 μB per formula unit
Raw total energy   -0.3752 Ry per atom
Calculated volume   583.0 Å³ per cell

***

No. 3
Cu2Ag3: relaxed, PBE.

abc: 8.896 3.935 8.877
angles: 90.00 90.11 90.00
Space group C2/m (No. 12)
Symmetry-distinct sites (fractional):
Cu1 0.156 0.000 0.455 (multiplicity 4)
Cu2 0.244 0.500 0.269 (multiplicity 4)
Ag1 0.053 0.000 0.164 (multiplicity 4)
Ag2 0.059 0.500 0.641 (multiplicity 4)
Ag3 0.152 0.500 0.947 (multiplicity 4)

Calculated values
Energy of formation   0.088 eV per atom
Calculated volume   310.7 Å³ per cell
ΔE to the lowest computed polymorph   55 meV per atom

***

No. 4
GaRePt2: relaxed, PBE.

abc: 6.250 6.250 6.250
angles: 90.00 90.00 90.00
Space group F-43m (No. 216)
Symmetry-distinct sites (fractional):
Ga1 0.000 0.000 0.000 (multiplicity 4)
Re1 0.250 0.250 0.250 (multiplicity 4)
Pt1 0.000 0.000 0.500 (multiplicity 4)
Pt2 0.250 0.250 0.750 (multiplicity 4)

Calculated values
Total moment   0.31 μB per formula unit
Raw total energy   -0.5008 Ry per atom
Calculated volume   244.2 Å³ per cell

***

No. 5
NdZrZnCo2: relaxed, PBE.

abc: 4.107 5.428 7.973
angles: 90.00 90.00 90.00
Space group Imm2 (No. 44)
Symmetry-distinct sites (fractional):
Nd1 0.000 0.000 0.000 (multiplicity 2)
Zr1 0.000 0.000 0.419 (multiplicity 2)
Zn1 0.000 0.500 0.201 (multiplicity 2)
Co1 0.000 0.283 0.714 (multiplicity 4)

Calculated values
Energy of formation   -0.193 eV per atom
Total moment   0.01 μB per formula unit
Calculated volume   177.7 Å³ per cell

***

No. 6
CsMgFeTe3: relaxed, PBE.

abc: 17.201 4.110 11.738
angles: 90.00 90.00 90.00
Space group Pnma (No. 62)
Symmetry-distinct sites (fractional):
Cs1 0.243 0.250 0.089 (multiplicity 4)
Mg1 0.009 0.750 0.114 (multiplicity 4)
Fe1 0.028 0.250 0.387 (multiplicity 4)
Te1 0.069 0.250 0.599 (multiplicity 4)
Te2 0.099 0.750 0.910 (multiplicity 4)
Te3 0.114 0.750 0.304 (multiplicity 4)

Calculated values
Total moment   2.44 μB per formula unit
Calculated volume   829.8 Å³ per cell
ΔE to the lowest computed polymorph   0 meV per atom

***

No. 7
KLuZnSe3: relaxed, PBE.

abc: 8.710 4.084 10.116
angles: 90.00 109.17 90.00
Space group P2_1/m (No. 11)
Symmetry-distinct sites (fractional):
K1 0.232 0.250 0.260 (multiplicity 2)
Lu1 0.324 0.750 0.862 (multiplicity 2)
Zn1 0.082 0.250 0.608 (multiplicity 2)
Se1 0.094 0.250 0.851 (multiplicity 2)
Se2 0.219 0.750 0.549 (multiplicity 2)
Se3 0.459 0.750 0.150 (multiplicity 2)

Calculated values
Total moment   0.00 μB per formula unit
Raw total energy   -0.3132 Ry per atom
Calculated volume   339.9 Å³ per cell

***

No. 8
HfMgReAs: relaxed, PBE.

abc: 6.520 6.520 6.520
angles: 90.00 90.00 90.00
Space group F-43m (No. 216)
Symmetry-distinct sites (fractional):
Hf1 0.000 0.000 0.000 (multiplicity 4)
Mg1 0.000 0.000 0.500 (multiplicity 4)
Re1 0.250 0.250 0.750 (multiplicity 4)
As1 0.250 0.250 0.250 (multiplicity 4)

Calculated values
Total moment   0.00 μB per formula unit
Calculated volume   277.2 Å³ per cell
ΔE to the lowest computed polymorph   19 meV per atom